Entry 1:
Compound: RbVAs2Br
Source: Alexandria via LeMat-Bulk
Functional: GGA-PBE
Structure: relaxed

## Properties
Formation energy from raw total energies in eV per atom: -0.41
Final energy in eV/cell: -23.10
Magnetization in Bohr magnetons per cell: 0.64
Excess energy over the best structure of this formula in the dataset in eV per atom: 0.000

```
data_RbVAs2Br
_space_group_name_H-M_alt 'P 4/m m m'
_space_group_IT_number 123
_space_group_name_Hall '-P 4 2'
_cell_length_a 4.7513
_cell_length_b 4.7513
_cell_length_c 6.0222
_cell_angle_alpha 90.00
_cell_angle_beta 90.00
_cell_angle_gamma 90.00
loop_
_atom_site_label
_atom_site_fract_x
_atom_site_fract_y
_atom_site_fract_z
Rb1 0.0000 0.0000 0.0000
V1 0.5000 0.5000 0.5000
As1 0.0000 0.5000 0.5000
Br1 0.5000 0.5000 0.0000
```



Entry 2:
Compound: ErTiRh4
Source: Alexandria via LeMat-Bulk
Functional: GGA-PBE
Structure: relaxed

## Properties
Final energy in eV/cell: -180.10
E_form in eV per atom: -0.5269
Magnetization in Bohr magnetons per cell: 0.00
Excess energy over the best structure of this formula in the dataset in eV per atom: 0.000

```
data_ErTiRh4
_space_group_name_H-M_alt 'F -4 3 m'
_space_group_IT_number 216
_space_group_name_Hall 'F -4 2 3'
_cell_length_a 7.3676
_cell_length_b 7.3676
_cell_length_c 7.3676
_cell_angle_alpha 90.00
_cell_angle_beta 90.00
_cell_angle_gamma 90.00
loop_
_atom_site_label
_atom_site_fract_x
_atom_site_fract_y
_atom_site_fract_z
Er1 0.0000 0.0000 0.0000
Ti1 0.2500 0.2500 0.7500
Rh1 0.1248 0.1248 0.3752
```



Entry 3:
Compound: LiLaCd3
Source: Alexandria via LeMat-Bulk
Functional: GGA-PBE
Structure: relaxed

## Properties
Final energy in eV/cell: -42.94
E_form in eV per atom: -0.2295
Magnetization in Bohr magnetons per cell: 0.00
Excess energy over the best structure of this formula in the dataset in eV per atom: 0.000

```
data_LiLaCd3
_space_group_name_H-M_alt 'C m c m'
_space_group_IT_number 63
_space_group_name_Hall '-C 2c 2'
_cell_length_a 6.8206
_cell_length_b 10.8581
_cell_length_c 6.6962
_cell_angle_alpha 90.00
_cell_angle_beta 90.00
_cell_angle_gamma 90.00
loop_
_atom_site_label
_atom_site_fract_x
_atom_site_fract_y
_atom_site_fract_z
Li1 0.0000 0.0973 0.2500
La1 0.0000 0.2331 0.7500
Cd1 0.0000 0.3334 0.2500
Cd2 0.2318 0.5000 0.0000
```



Entry 4:
Compound: La2Tb5Ho2
Source: Alexandria via LeMat-Bulk
Functional: GGA-PBE
Structure: relaxed

## Properties
Final energy in eV/cell: -161.29
E_form in eV per atom: 0.2044
Magnetization in Bohr magnetons per cell: 0.00
Excess energy over the best structure of this formula in the dataset in eV per atom: 0.000

```
data_La2Tb5Ho2
_space_group_name_H-M_alt 'I m a 2'
_space_group_IT_number 46
_cell_length_a 14.9745
_cell_length_b 11.9357
_cell_length_c 6.7611
_cell_angle_alpha 90.00
_cell_angle_beta 90.00
_cell_angle_gamma 90.00
loop_
_space_group_symop_operation_xyz
'x,y,z'
'-x,-y,z'
'-x+1/2,y,z'
'x+1/2,-y,z'
'x+1/2,y+1/2,z+1/2'
'-x+1/2,-y+1/2,z+1/2'
'-x,y+1/2,z+1/2'
'x,-y+1/2,z+1/2'
loop_
_atom_site_label
_atom_site_fract_x
_atom_site_fract_y
_atom_site_fract_z
La1 0.1267 0.0027 0.0000
Tb1 0.0528 0.7473 0.8582
Tb2 0.1433 0.2329 0.6800
Tb3 0.2500 0.7406 0.6509
Ho1 0.0000 0.0000 0.5391
Ho2 0.2500 0.0084 0.4610
```